The following is a DFT calculation (PBE-GGA) of a relaxed PrTiPt crystal.

a = 3.4499 Å, b = 3.4499 Å, c = 11.0567 Å
α = 90.00°, β = 90.00°, γ = 90.00°
Space group P4/mmm (No. 123)
Symmetry-distinct sites (fractional):
1 Pr 0.0000 0.0000 0.1703
2 Ti 0.5000 0.5000 0.3817
3 Pt 0.0000 0.0000 0.5000
4 Pt 0.5000 0.5000 0.0000

## Properties
Energy relative to the elements: -0.45 eV per atom

The following is a DFT calculation (PBE-GGA) of a relaxed PRuRh2 crystal.

a = 2.8366 Å, b = 4.8156 Å, c = 8.3073 Å
α = 90.00°, β = 90.00°, γ = 90.00°
Space group Cmm2 (No. 35)
Symmetry-distinct sites (fractional):
1 P 0.0000 0.0000 0.0000
2 Ru 0.0000 0.5000 0.7831
3 Rh 0.0000 0.0000 0.5046
4 Rh 0.0000 0.5000 0.2188

## Properties
Energy relative to the elements: 0.13 eV per atom

The following is a DFT calculation (PBE-GGA) of a relaxed SrDyPd4 crystal.

a = 7.8074 Å, b = 7.8074 Å, c = 7.8074 Å
α = 90.00°, β = 90.00°, γ = 90.00°
Space group F-43m (No. 216)
Symmetry-distinct sites (fractional):
1 Sr 0.0000 0.0000 0.0000
2 Dy 0.2500 0.2500 0.7500
3 Pd 0.1246 0.1246 0.3754

## Properties
Energy relative to the elements: -0.68 eV per atom

The following is a DFT calculation (PBE-GGA) of a relaxed Tb4MgTlZn2 crystal.

a = 5.2029 Å, b = 5.2029 Å, c = 25.9666 Å
α = 90.00°, β = 90.00°, γ = 120.00°
Space group R-3m (No. 166, hexagonal axes)
Symmetry-distinct sites (fractional):
1 Tb 0.0000 0.0000 0.1235
2 Tb 0.0000 0.0000 0.3751
3 Mg 0.0000 0.0000 0.0000
4 Tl 0.0000 0.0000 0.5000
5 Zn 0.0000 0.0000 0.2586

## Properties
Energy relative to the elements: -0.26 eV per atom

The following is a DFT calculation (PBE-GGA) of a relaxed RbCu4Sn3Cl12 crystal.

a = 14.3576 Å, b = 14.3576 Å, c = 10.5697 Å
α = 90.00°, β = 90.00°, γ = 120.00°
Space group R32 (No. 155, hexagonal axes)
Symmetry-distinct sites (fractional):
1 Rb 0.0000 0.0000 0.0000
2 Cu 0.0000 0.0000 0.5000
3 Cu 0.0000 0.4313 0.5000
4 Sn 0.0000 0.5570 0.0000
5 Cl 0.0000 0.5900 0.5000
6 Cl 0.0000 0.8458 0.5000
7 Cl 0.0377 0.2073 0.1949

## Properties
Energy relative to the elements, uncorrected: -850 meV per atom

The following is a DFT calculation (PBE-GGA) of a relaxed La2TbY2 crystal.

a = 8.7832 Å, b = 9.6477 Å, c = 8.8164 Å
α = 90.00°, β = 108.73°, γ = 90.00°
Space group C2/c (No. 15)
Symmetry-distinct sites (fractional):
1 La 0.0000 0.0000 0.0000
2 La 0.2500 0.2500 0.0000
3 Tb 0.0000 0.2983 0.2500
4 Y 0.1525 0.4063 0.6323

## Properties
Energy relative to the elements: 0.23 eV per atom
Polymorph energy (0 for the lowest one): 0.000 eV per atom

Please write out number 3 again, unchanged.
The following is a DFT calculation (PBE-GGA) of a relaxed SrDyPd4 crystal.

a = 7.8074 Å, b = 7.8074 Å, c = 7.8074 Å
α = 90.00°, β = 90.00°, γ = 90.00°
Space group F-43m (No. 216)
Symmetry-distinct sites (fractional):
1 Sr 0.0000 0.0000 0.0000
2 Dy 0.2500 0.2500 0.7500
3 Pd 0.1246 0.1246 0.3754

## Properties
Energy relative to the elements: -0.68 eV per atom